Entry 1:
## AcFeCu2O4 (PBE+U)

Data for a relaxed structure of AcFeCu2O4.

Properties
**Density of states at the Fermi level**: 0.061 states/eV per atom
**Electronic total energy**: -6.268 eV per atom
**Magnetic moment**: 5.0 μB per formula unit

Lattice parameters (Å, degrees): 5.227 5.227 5.227 96.86 116.12 116.12
Sites, in units of the cell vectors:
Ac  0.000  0.000  0.000
Fe  0.000  0.500  0.500
Cu  0.500  0.750  0.250
Cu  0.500  0.250  0.750
O  0.000  0.137  0.533
O  0.604  0.467  0.467
O  0.396  0.863  0.863
O  0.000  0.533  0.137


Entry 2:
## Ac3FeCu2O8 (PBE+U)

Data for a relaxed structure of Ac3FeCu2O8.

Properties
**Density of states at the Fermi level**: 0.373 states/eV per atom
**Electronic total energy**: -6.774 eV per atom
**Magnetic moment**: 3.0 μB per formula unit

Lattice parameters (Å, degrees): 5.589 5.589 7.366 90.00 90.00 120.00
Sites, in units of the cell vectors:
Ac  0.333  0.667  0.632
Ac  0.667  0.333  0.368
Ac  0.000  0.000  0.000
Fe  0.000  0.000  0.500
Cu  0.333  0.667  0.188
Cu  0.667  0.333  0.812
O  0.333  0.667  0.941
O  0.667  0.333  0.059
O  0.162  0.838  0.334
O  0.838  0.162  0.666
O  0.162  0.323  0.334
O  0.838  0.677  0.666
O  0.677  0.838  0.334
O  0.323  0.162  0.666


Entry 3:
## Ac4Fe3CuO12 (PBE+U)

Data for a relaxed structure of Ac4Fe3CuO12.

Properties
**Density of states at the Fermi level**: 0.235 states/eV per atom
**Electronic total energy**: -7.086 eV per atom
**Magnetic moment**: 7.6 μB per formula unit

Lattice parameters (Å, degrees): 6.869 6.869 6.869 109.47 109.47 109.47
Sites, in units of the cell vectors:
Ac  0.500  0.500  0.500
Ac  0.000  0.000  0.500
Ac  0.500  0.000  0.000
Ac  0.000  0.500  0.000
Fe  0.500  0.000  0.500
Fe  0.500  0.500  0.000
Fe  0.000  0.500  0.500
Cu  0.000  0.000  0.000
O  0.250  0.500  0.750
O  0.746  0.000  0.746
O  0.254  0.000  0.254
O  0.750  0.500  0.250
O  0.746  0.746  0.000
O  0.254  0.254  0.000
O  0.750  0.250  0.500
O  0.250  0.750  0.500
O  0.500  0.250  0.750
O  0.000  0.746  0.746
O  0.500  0.750  0.250
O  0.000  0.254  0.254


What did the second record say?
## Ac3FeCu2O8 (PBE+U)

Data for a relaxed structure of Ac3FeCu2O8.

Properties
**Density of states at the Fermi level**: 0.373 states/eV per atom
**Electronic total energy**: -6.774 eV per atom
**Magnetic moment**: 3.0 μB per formula unit

Lattice parameters (Å, degrees): 5.589 5.589 7.366 90.00 90.00 120.00
Sites, in units of the cell vectors:
Ac  0.333  0.667  0.632
Ac  0.667  0.333  0.368
Ac  0.000  0.000  0.000
Fe  0.000  0.000  0.500
Cu  0.333  0.667  0.188
Cu  0.667  0.333  0.812
O  0.333  0.667  0.941
O  0.667  0.333  0.059
O  0.162  0.838  0.334
O  0.838  0.162  0.666
O  0.162  0.323  0.334
O  0.838  0.677  0.666
O  0.677  0.838  0.334
O  0.323  0.162  0.666